1.
## NbAs2PbSe (PBE)

Data for a relaxed NbAs2PbSe crystal.

Calculated values
Distance to the lowest polymorph of the same formula   1468.8 meV per atom
Formation energy from raw total energies   1.49 eV per atom
Uncorrected energy   -3.82 eV per atom

Cell lengths 5.2124, 5.2124, 5.2928 Å; angles 90.00, 90.00, 90.00 degrees
Last column: nearest neighbours and their distance in Å.
Atoms (fractional coordinates):
Nb (0.0000, 0.0000, 0.0000)  4 Se 3.69, 8 As 3.71
As (0.0000, 0.5000, 0.5000)  2 Pb 2.61
As (0.5000, 0.0000, 0.5000)  2 Pb 2.61
Pb (0.5000, 0.5000, 0.5000)  4 As 2.61, 2 Se 2.65
Se (0.5000, 0.5000, 0.0000)  2 Pb 2.65

***

2.
## NbAs2PbSe (PBE)

Data for a relaxed NbAs2PbSe crystal.

Calculated values
Distance to the lowest polymorph of the same formula   0.0 meV per atom
Formation energy from raw total energies   0.02 eV per atom
Uncorrected energy   -5.29 eV per atom

Cell lengths 5.0774, 5.0774, 5.0601 Å; angles 90.00, 90.00, 90.00 degrees
Last column: nearest neighbours and their distance in Å.
Atoms (fractional coordinates):
Nb (0.0000, 0.0000, 0.0000)  2 Se 2.53, 4 As 2.54
As (0.0000, 0.5000, 0.0000)  2 Nb 2.54
As (0.5000, 0.0000, 0.0000)  2 Nb 2.54
Pb (0.5000, 0.5000, 0.5000)  8 As 3.58, 4 Se 3.59
Se (0.0000, 0.0000, 0.5000)  2 Nb 2.53

***

3.
## NbTe2AsPb (PBE)

Data for a relaxed NbTe2AsPb crystal.

Calculated values
Formation energy from raw total energies   0.53 eV per atom
Uncorrected energy   -4.42 eV per atom

Cell lengths 5.3167, 5.3167, 5.7318 Å; angles 90.00, 90.00, 90.00 degrees
Last column: nearest neighbours and their distance in Å.
Atoms (fractional coordinates):
Nb (0.0000, 0.0000, 0.0000)  4 Te 2.66, 2 Pb 2.87
Te (0.0000, 0.5000, 0.0000)  2 Nb 2.66
Te (0.5000, 0.0000, 0.0000)  2 Nb 2.66
As (0.5000, 0.5000, 0.5000)  4 Pb 3.76, 8 Te 3.91
Pb (0.0000, 0.0000, 0.5000)  2 Nb 2.87

***

4.
## NbZnAs2Pb (PBE)

Data for a relaxed NbZnAs2Pb crystal.

Calculated values
Energy of formation from the pure elements   0.220 eV per atom
Uncorrected energy   -4.65 eV per atom

Cell lengths 5.0226, 5.0226, 5.0972 Å; angles 90.00, 90.00, 90.00 degrees
Last column: nearest neighbours and their distance in Å.
Atoms (fractional coordinates):
Nb (0.0000, 0.0000, 0.0000)  4 As 2.51, 2 Zn 2.55
Zn (0.0000, 0.0000, 0.5000)  2 Nb 2.55
As (0.0000, 0.5000, 0.0000)  2 Nb 2.51
As (0.5000, 0.0000, 0.0000)  2 Nb 2.51
Pb (0.5000, 0.5000, 0.5000)  4 Zn 3.55, 8 As 3.58

***

5.
## NbAs2Pd (PBE)

Data for a relaxed NbAs2Pd crystal.

Calculated values
Energy of formation from the pure elements   -0.204 eV per atom
Uncorrected energy   -6.34 eV per atom

Cell lengths 4.5530, 4.5530, 4.5530 Å; angles 60.00, 60.00, 60.00 degrees
Last column: nearest neighbours and their distance in Å.
Atoms (fractional coordinates):
Nb (0.0000, 0.0000, 0.0000)  8 As 2.79
As (0.2500, 0.2500, 0.2500)  4 Nb 2.79, 4 Pd 2.79
As (0.7500, 0.7500, 0.7500)  4 Pd 2.79, 4 Nb 2.79
Pd (0.5000, 0.5000, 0.5000)  8 As 2.79

***

6.
## NbAs3Pd (PBE)

Data for a relaxed NbAs3Pd crystal.

Calculated values
Distance to the lowest polymorph of the same formula   0.0 meV per atom
Energy of formation from the pure elements   0.476 eV per atom
Uncorrected energy   -5.37 eV per atom

Cell lengths 4.9543, 4.9543, 4.9543 Å; angles 90.00, 90.00, 90.00 degrees
Last column: nearest neighbours and their distance in Å.
Atoms (fractional coordinates):
Nb (0.0000, 0.0000, 0.0000)  6 As 2.48
As (0.0000, 0.0000, 0.5000)  2 Nb 2.48
As (0.0000, 0.5000, 0.0000)  2 Nb 2.48
As (0.5000, 0.0000, 0.0000)  2 Nb 2.48
Pd (0.5000, 0.5000, 0.5000)  12 As 3.50

***

7.
## NbAsPd (PBE)

Data for a relaxed NbAsPd crystal.

Calculated values
Energy of formation from the pure elements   -0.128 eV per atom
Uncorrected energy   -6.77 eV per atom

Cell lengths 7.9501, 7.8514, 5.8979 Å; angles 68.98, 67.20, 43.83 degrees
Last column: nearest neighbours and their distance in Å.
Atoms (fractional coordinates):
Nb (0.0097, 0.0097, 0.7403)  4 As 2.57-2.58
Nb (0.2597, 0.2597, 0.9903)  4 As 2.57-2.58
Nb (0.7403, 0.7403, 0.0097)  4 As 2.57-2.58
Nb (0.9903, 0.9903, 0.2597)  4 As 2.57-2.58
As (0.0898, 0.6602, 0.0898)  2 Pd 2.39, 4 Nb 2.57-2.58
As (0.3398, 0.9102, 0.3398)  2 Pd 2.39, 4 Nb 2.57-2.58
As (0.6602, 0.0898, 0.6602)  2 Pd 2.39, 4 Nb 2.57-2.58
As (0.9102, 0.3398, 0.9102)  2 Pd 2.39, 4 Nb 2.57-2.58
Pd (0.0000, 0.5000, 0.5000)  2 As 2.39
Pd (0.5000, 0.0000, 0.5000)  2 As 2.39
Pd (0.5000, 0.5000, 0.0000)  2 As 2.39
Pd (0.5000, 0.5000, 0.5000)  2 As 2.39

***

8.
## NbAs3Pd (PBE)

Data for a relaxed NbAs3Pd crystal.

Calculated values
Distance to the lowest polymorph of the same formula   331.8 meV per atom
Energy of formation from the pure elements   0.808 eV per atom
Uncorrected energy   -5.03 eV per atom

Cell lengths 4.7783, 4.7783, 4.7783 Å; angles 90.00, 90.00, 90.00 degrees
Last column: nearest neighbours and their distance in Å.
Atoms (fractional coordinates):
Nb (0.0000, 0.0000, 0.0000)  12 As 3.38
As (0.0000, 0.5000, 0.5000)  2 Pd 2.39
As (0.5000, 0.0000, 0.5000)  2 Pd 2.39
As (0.5000, 0.5000, 0.0000)  2 Pd 2.39
Pd (0.5000, 0.5000, 0.5000)  6 As 2.39

***

9.
## Nb2AsPd8 (PBE)

Data for a relaxed Nb2AsPd8 crystal.

Calculated values
Energy of formation from the pure elements   -0.330 eV per atom
Uncorrected energy   -6.36 eV per atom

Cell lengths 7.7330, 7.7330, 7.7330 Å; angles 145.29, 136.85, 56.52 degrees
Last column: nearest neighbours and their distance in Å.
Atoms (fractional coordinates):
Nb (0.1902, 0.1902, 0.0000)  12 Pd 2.77-2.95
Nb (0.8098, 0.8098, 0.0000)  12 Pd 2.77-2.95
As (0.5000, 0.5000, 0.0000)  4 Pd 2.38
Pd (0.1016, 0.3634, 0.7381)  1 As 2.38
Pd (0.2475, 0.0000, 0.2475)  2 As 2.72, 8 Pd 2.82-2.96, 2 Nb 2.95
Pd (0.3099, 0.8099, 0.5000)  8 Pd 2.72-2.96, 4 Nb 2.82-2.84
Pd (0.3747, 0.6366, 0.7381)  1 As 2.38
Pd (0.6253, 0.3634, 0.2619)  1 As 2.38
Pd (0.6901, 0.1901, 0.5000)  8 Pd 2.72-2.96, 4 Nb 2.82-2.84
Pd (0.7525, 0.0000, 0.7525)  2 As 2.72, 8 Pd 2.82-2.96, 2 Nb 2.95
Pd (0.8984, 0.6366, 0.2619)  1 As 2.38

***

10.
## NbAs2Pd (PBE)

Data for a relaxed NbAs2Pd crystal.

Calculated values
Energy of formation from the pure elements   -0.219 eV per atom
Uncorrected energy   -6.36 eV per atom

Cell lengths 7.6064, 7.6064, 7.6064 Å; angles 25.85, 25.85, 25.85 degrees
Last column: nearest neighbours and their distance in Å.
Atoms (fractional coordinates):
Nb (0.0000, 0.0000, 0.0000)  6 As 2.61-2.69
As (0.4166, 0.4166, 0.4166)  3 Nb 2.69, 3 Pd 2.98
As (0.5885, 0.5885, 0.5885)  3 Pd 2.50, 3 Nb 2.61
Pd (0.8516, 0.8516, 0.8516)  3 As 2.50

***

11.
## Nb5As4Pd4 (PBE)

Data for a relaxed Nb5As4Pd4 crystal.

Calculated values
Energy of formation from the pure elements   -0.514 eV per atom
Uncorrected energy   -7.42 eV per atom

Cell lengths 7.7363, 7.7363, 7.7363 Å; angles 93.49, 93.49, 151.41 degrees
Last column: nearest neighbours and their distance in Å.
Atoms (fractional coordinates):
Nb (0.0000, 0.0000, 0.0000)  4 As 2.68
Nb (0.3117, 0.3818, 0.6935)  4 As 2.67-2.79, 2 Pd 2.98
Nb (0.3818, 0.6883, 0.0701)  4 As 2.67-2.79, 2 Pd 2.98
Nb (0.6182, 0.3117, 0.9299)  4 As 2.67-2.79, 2 Pd 2.98
Nb (0.6883, 0.6182, 0.3065)  4 As 2.67-2.79, 2 Pd 2.98
As (0.0660, 0.2439, 0.3099)  3 Pd 2.47-2.54, 3 Nb 2.67-2.68
As (0.2439, 0.9340, 0.1779)  3 Pd 2.47-2.54, 3 Nb 2.67-2.68
As (0.7561, 0.0660, 0.8221)  3 Pd 2.47-2.54, 3 Nb 2.67-2.68
As (0.9340, 0.7561, 0.6901)  3 Pd 2.47-2.54, 3 Nb 2.67-2.68
Pd (0.1118, 0.5957, 0.7075)  3 As 2.47-2.54
Pd (0.4043, 0.1118, 0.5160)  3 As 2.47-2.54
Pd (0.5957, 0.8882, 0.4840)  3 As 2.47-2.54
Pd (0.8882, 0.4043, 0.2925)  3 As 2.47-2.54

***

12.
## NbAs2Pd (PBE)

Data for a relaxed NbAs2Pd crystal.

Calculated values
Energy of formation from the pure elements   0.134 eV per atom
Uncorrected energy   -6.01 eV per atom

Cell lengths 9.3879, 9.3879, 9.3879 Å; angles 18.46, 18.46, 18.46 degrees
Last column: nearest neighbours and their distance in Å.
Atoms (fractional coordinates):
Nb (0.0000, 0.0000, 0.0000)  2 As 2.63
As (0.0949, 0.0949, 0.0949)  1 Nb 2.63, 3 Pd 2.64
As (0.9051, 0.9051, 0.9051)  1 Nb 2.63, 3 Pd 2.64
Pd (0.5000, 0.5000, 0.5000)  6 As 2.64